## TlTc2NiO8 (PBE with a Hubbard U)

Data for a relaxed structure of TlTc2NiO8.

## Properties
The calculation puts the spin magnetization at 0.926 μB per formula unit. Its mass density is 4.61 Mg/m³. The total energy is -6.72 eV/atom.

Cell lengths 5.394, 5.394, 8.035 Å; angles 93.58, 93.58, 65.13 degrees
Positions (direct):
Tl  0.000  0.000  0.000
Tc  0.371  0.371  0.706
Tc  0.629  0.629  0.294
Ni  0.000  0.000  0.500
O  0.221  0.221  0.555
O  0.228  0.731  0.683
O  0.269  0.772  0.317
O  0.308  0.308  0.906
O  0.692  0.692  0.094
O  0.731  0.228  0.683
O  0.772  0.269  0.317
O  0.779  0.779  0.445